Entry 1:
Compound: AcTb7Er4
Source: Alexandria
Functional: PBE
Structure: optimized geometry

Cell and atoms, written as CIF:
```
data_AcTb7Er4
_chemical_formula_sum 'Ac1 Tb7 Er4'
_space_group_name_H-M_alt 'P 1'
_space_group_IT_number 1
_space_group_name_Hall 'P 1'
_cell_length_a 7.214
_cell_length_b 6.232
_cell_length_c 11.449
_cell_angle_alpha 79.50
_cell_angle_beta 50.91
_cell_angle_gamma 90.00
loop_
_atom_site_label
_atom_site_fract_x
_atom_site_fract_y
_atom_site_fract_z
_atom_site_occupancy
Tb1 0.916 0.719 0.338 1
Tb2 0.338 0.775 0.661 1
Tb3 0.084 0.281 0.662 1
Tb4 0.500 0.000 0.000 1
Tb5 0.662 0.225 0.339 1
Tb6 0.744 0.500 0.000 1
Tb7 0.256 0.500 0.000 1
Er1 0.835 0.780 0.665 1
Er2 0.165 0.220 0.335 1
Er3 0.592 0.280 0.663 1
Er4 0.408 0.720 0.337 1
Ac1 0.000 0.000 0.000 1
```

## Properties
As for the density of states at the Fermi level: 16.36 states/eV/cell. The value obtained for the excess energy over the best structure of this formula in the dataset is 0.000 eV/f.u. Its crystal system is triclinic. As for the space-group type: P-1 (2).

---

Entry 2:
Compound: Ca4Mg3Ir2
Source: Alexandria
Functional: PBE
Structure: optimized geometry

Cell and atoms, written as CIF:
```
data_Ca4Mg3Ir2
_chemical_formula_sum 'Ca4 Mg3 Ir2'
_space_group_name_H-M_alt 'P 1'
_space_group_IT_number 1
_space_group_name_Hall 'P 1'
_cell_length_a 4.288
_cell_length_b 7.437
_cell_length_c 8.203
_cell_angle_alpha 108.64
_cell_angle_beta 105.15
_cell_angle_gamma 90.00
loop_
_atom_site_label
_atom_site_fract_x
_atom_site_fract_y
_atom_site_fract_z
_atom_site_occupancy
Ca1 0.227 0.664 0.454 1
Ca2 0.578 0.840 0.157 1
Ca3 0.773 0.336 0.546 1
Ca4 0.422 0.160 0.843 1
Mg1 0.000 0.500 0.000 1
Mg2 0.095 0.218 0.190 1
Mg3 0.905 0.782 0.810 1
Ir1 0.400 0.556 0.799 1
Ir2 0.600 0.444 0.201 1
```

## Properties
As for the density of states at the Fermi level: 5.52 states/eV/cell. Its crystal system is monoclinic. The total energy is -3.68 eV per atom. As for the space-group type: C2/m (12).

---

Entry 3:
Compound: BeReHgN2
Source: Alexandria
Functional: PBE
Structure: optimized geometry

Cell and atoms, written as CIF:
```
data_BeReHgN2
_chemical_formula_sum 'Be1 Re1 Hg1 N2'
_space_group_name_H-M_alt 'P 1'
_space_group_IT_number 1
_space_group_name_Hall 'P 1'
_cell_length_a 3.741
_cell_length_b 4.522
_cell_length_c 3.741
_cell_angle_alpha 90.00
_cell_angle_beta 90.00
_cell_angle_gamma 90.00
loop_
_atom_site_label
_atom_site_fract_x
_atom_site_fract_y
_atom_site_fract_z
_atom_site_occupancy
Hg1 0.500 0.500 0.500 1
N1 0.500 0.000 0.000 1
N2 0.000 0.000 0.500 1
Be1 0.000 0.000 0.000 1
Re1 0.000 0.500 0.000 1
```

## Properties
As for the density of states at the Fermi level: 4.33 states/eV/cell. The calculation puts the formation energy without anion corrections at 9.4 eV/f.u. Its crystal system is tetragonal. As for the space-group type: P4/mmm (123).

---

Entry 4:
Compound: Pm2Cd6In
Source: Alexandria
Functional: PBE
Structure: optimized geometry

Cell and atoms, written as CIF:
```
data_Pm2Cd6In
_chemical_formula_sum 'Pm2 Cd6 In1'
_space_group_name_H-M_alt 'P 1'
_space_group_IT_number 1
_space_group_name_Hall 'P 1'
_cell_length_a 6.462
_cell_length_b 6.335
_cell_length_c 6.335
_cell_angle_alpha 60.00
_cell_angle_beta 90.02
_cell_angle_gamma 90.02
loop_
_atom_site_label
_atom_site_fract_x
_atom_site_fract_y
_atom_site_fract_z
_atom_site_occupancy
Cd1 0.666 0.642 0.179 1
Cd2 0.334 0.358 0.821 1
Cd3 0.666 0.179 0.642 1
Cd4 0.334 0.821 0.358 1
Cd5 0.332 0.821 0.821 1
Cd6 0.668 0.179 0.179 1
In1 0.000 0.000 0.000 1
Pm1 0.862 0.667 0.667 1
Pm2 0.138 0.333 0.333 1
```

## Properties
As for the density of states at the Fermi level: 8.14 states/eV/cell. Its crystal system is trigonal. The total energy is -2.22 eV per atom. As for the space-group type: P-3m1 (164).

---

Entry 5:
Compound: Sm5Dy4Ho
Source: Alexandria
Functional: PBE
Structure: optimized geometry

Cell and atoms, written as CIF:
```
data_Sm5Dy4Ho
_chemical_formula_sum 'Sm5 Dy4 Ho1'
_space_group_name_H-M_alt 'P 1'
_space_group_IT_number 1
_space_group_name_Hall 'P 1'
_cell_length_a 3.579
_cell_length_b 10.144
_cell_length_c 9.468
_cell_angle_alpha 105.54
_cell_angle_beta 100.86
_cell_angle_gamma 89.95
loop_
_atom_site_label
_atom_site_fract_x
_atom_site_fract_y
_atom_site_fract_z
_atom_site_occupancy
Sm1 0.500 0.500 0.000 1
Sm2 0.299 0.400 0.600 1
Sm3 0.101 0.803 0.200 1
Sm4 0.899 0.197 0.800 1
Sm5 0.701 0.600 0.400 1
Dy1 0.700 0.100 0.399 1
Dy2 0.899 0.703 0.800 1
Dy3 0.101 0.297 0.200 1
Dy4 0.300 0.900 0.601 1
Ho1 0.500 0.000 0.000 1
```

## Properties
As for the density of states at the Fermi level: 12.73 states/eV/cell. The value obtained for the excess energy over the best structure of this formula in the dataset is 0.000 eV/f.u. Its crystal system is triclinic. As for the space-group type: P-1 (2).

---

Entry 6:
Compound: LaThBiAu
Source: Alexandria
Functional: PBE
Structure: optimized geometry

Cell and atoms, written as CIF:
```
data_LaThBiAu
_chemical_formula_sum 'La1 Th1 Bi1 Au1'
_space_group_name_H-M_alt 'P 1'
_space_group_IT_number 1
_space_group_name_Hall 'P 1'
_cell_length_a 5.475
_cell_length_b 5.475
_cell_length_c 5.475
_cell_angle_alpha 60.00
_cell_angle_beta 60.00
_cell_angle_gamma 60.00
loop_
_atom_site_label
_atom_site_fract_x
_atom_site_fract_y
_atom_site_fract_z
_atom_site_occupancy
Th1 0.750 0.750 0.750 1
La1 0.250 0.250 0.250 1
Bi1 0.000 0.000 0.000 1
Au1 0.500 0.500 0.500 1
```

## Properties
As for the density of states at the Fermi level: 4.55 states/eV/cell. Its crystal system is cubic. The total energy is -5.44 eV per atom. As for the space-group type: F-43m (216).

---

> density of states at the Fermi level of number 5 (Sm5Dy4Ho)?

12.73 states/eV/cell

---

> Which formula does entry 3 have?

BeReHgN2